# 1
# Rb3Nd3GaTe8, optimized geometry, DFT PBE
data_Rb3Nd3GaTe8
_chemical_formula_sum 'Rb6 Nd6 Ga2 Te16'
_space_group_name_H-M_alt 'C 1 2/m 1'
_space_group_IT_number 12
_cell_length_a 15.5631
_cell_length_b 8.9931
_cell_length_c 10.2927
_cell_angle_alpha 90.00
_cell_angle_beta 120.30
_cell_angle_gamma 90.00
loop_
_space_group_symop_operation_xyz
'x,y,z'
'-x,-y,-z'
'-x,y,-z'
'x,-y,z'
'x+1/2,y+1/2,z'
'-x+1/2,-y+1/2,-z'
'-x+1/2,y+1/2,-z'
'x+1/2,-y+1/2,z'
loop_
_atom_site_label
_atom_site_fract_x
_atom_site_fract_y
_atom_site_fract_z
_atom_site_occupancy
Rb1 0.0000 0.0000 0.0000 1
Rb2 0.2500 0.2500 0.0000 1
Nd1 0.0000 0.5000 0.5000 1
Nd2 0.2500 0.2500 0.5000 1
Ga1 0.0000 0.0000 0.5000 1
Te1 0.0137 0.2336 0.3075 1
Te2 0.2166 0.0000 0.6903 1
Te3 0.2359 0.5000 0.7072 1
# **VASP energy**: -122.3 eV for the cell shown

# 2
# Tb2Nd3SmHo6, optimized geometry, DFT PBE
data_Tb2Nd3SmHo6
_chemical_formula_sum 'Tb4 Nd6 Sm2 Ho12'
_space_group_name_H-M_alt 'C 1 2/m 1'
_space_group_IT_number 12
_cell_length_a 6.2068
_cell_length_b 10.7464
_cell_length_c 11.7975
_cell_angle_alpha 90.00
_cell_angle_beta 100.06
_cell_angle_gamma 90.00
loop_
_space_group_symop_operation_xyz
'x,y,z'
'-x,-y,-z'
'-x,y,-z'
'x,-y,z'
'x+1/2,y+1/2,z'
'-x+1/2,-y+1/2,-z'
'-x+1/2,y+1/2,-z'
'x+1/2,-y+1/2,z'
loop_
_atom_site_label
_atom_site_fract_x
_atom_site_fract_y
_atom_site_fract_z
_atom_site_occupancy
Tb1 0.0000 0.1666 0.0000 1
Nd1 0.0000 0.0000 0.5000 1
Nd2 0.0000 0.3332 0.5000 1
Sm1 0.0000 0.5000 0.0000 1
Ho1 0.2492 0.0000 0.2476 1
Ho2 0.2503 0.1668 0.7525 1
# **VASP energy**: -111.1 eV for the cell shown
# **DFT formation energy**: 0.016 eV per atom

# 3
# BaIrSe2O8, optimized geometry, DFT PBE
data_BaIrSe2O8
_chemical_formula_sum 'Ba2 Ir2 Se4 O16'
_space_group_name_H-M_alt 'C 1 2/m 1'
_space_group_IT_number 12
_cell_length_a 7.8201
_cell_length_b 6.6757
_cell_length_c 7.5634
_cell_angle_alpha 90.00
_cell_angle_beta 90.95
_cell_angle_gamma 90.00
loop_
_space_group_symop_operation_xyz
'x,y,z'
'-x,-y,-z'
'-x,y,-z'
'x,-y,z'
'x+1/2,y+1/2,z'
'-x+1/2,-y+1/2,-z'
'-x+1/2,y+1/2,-z'
'x+1/2,-y+1/2,z'
loop_
_atom_site_label
_atom_site_fract_x
_atom_site_fract_y
_atom_site_fract_z
_atom_site_occupancy
Ba1 0.0000 0.0000 0.0000 1
Ir1 0.0000 0.0000 0.5000 1
Se1 0.0839 0.5000 0.3103 1
O1 0.0287 0.1959 0.3136 1
O2 0.1741 0.5000 0.1111 1
O3 0.2442 0.5000 0.4752 1
# **VASP energy**: -139.1 eV for the cell shown

# 4
# CoAsBr2, optimized geometry, DFT PBE
data_CoAsBr2
_chemical_formula_sum 'Co2 As2 Br4'
_space_group_name_H-M_alt 'C 1 m 1'
_space_group_IT_number 8
_cell_length_a 8.3125
_cell_length_b 3.4353
_cell_length_c 7.6151
_cell_angle_alpha 90.00
_cell_angle_beta 101.48
_cell_angle_gamma 90.00
loop_
_space_group_symop_operation_xyz
'x,y,z'
'x,-y,z'
'x+1/2,y+1/2,z'
'x+1/2,-y+1/2,z'
loop_
_atom_site_label
_atom_site_fract_x
_atom_site_fract_y
_atom_site_fract_z
_atom_site_occupancy
Co1 0.0000 0.0000 0.0000 1
As1 0.2073 0.5000 0.0289 1
Br1 0.0744 0.5000 0.2978 1
Br2 0.3905 0.0000 0.7603 1
# **VASP energy**: -30.2 eV for the cell shown
# **ΔE to the lowest computed polymorph**: 75 meV/atom

# 5
# CuH2I2, optimized geometry, DFT PBE
data_CuH2I2
_chemical_formula_sum 'Cu2 H4 I4'
_space_group_name_H-M_alt 'P 4/m b m'
_space_group_IT_number 127
_space_group_name_Hall '-P 4 2ab'
_cell_length_a 7.6852
_cell_length_b 7.6852
_cell_length_c 4.0581
_cell_angle_alpha 90.00
_cell_angle_beta 90.00
_cell_angle_gamma 90.00
loop_
_atom_site_label
_atom_site_fract_x
_atom_site_fract_y
_atom_site_fract_z
_atom_site_occupancy
Cu1 0.0000 0.0000 0.0000 1
H1 0.1984 0.3016 0.5000 1
I1 0.1959 0.3041 0.0000 1
# **VASP energy**: -23.5 eV for the cell shown
# **ΔE to the lowest computed polymorph**: 70 meV/atom

# 6
# LiCaZn2F8, optimized geometry, DFT PBE
data_LiCaZn2F8
_chemical_formula_sum 'Li1 Ca1 Zn2 F8'
_space_group_name_H-M_alt 'P -1'
_space_group_IT_number 2
_cell_length_a 4.8675
_cell_length_b 4.8803
_cell_length_c 6.5134
_cell_angle_alpha 87.86
_cell_angle_beta 87.88
_cell_angle_gamma 86.62
loop_
_space_group_symop_operation_xyz
'x,y,z'
'-x,-y,-z'
loop_
_atom_site_label
_atom_site_fract_x
_atom_site_fract_y
_atom_site_fract_z
_atom_site_occupancy
Li1 0.0000 0.0000 0.0000 1
Ca1 0.0000 0.0000 0.5000 1
Zn1 0.4987 0.4987 0.2357 1
F1 0.2077 0.7889 0.7680 1
F2 0.2103 0.7915 0.2322 1
F3 0.3078 0.3080 0.9942 1
F4 0.3219 0.3215 0.4881 1
# **VASP energy**: -52.7 eV for the cell shown

# 7
# CaFeBr, optimized geometry, DFT PBE
data_CaFeBr
_chemical_formula_sum 'Ca2 Fe2 Br2'
_space_group_name_H-M_alt 'I 4 m m'
_space_group_IT_number 107
_space_group_name_Hall 'I 4 -2'
_cell_length_a 3.4364
_cell_length_b 3.4364
_cell_length_c 12.1904
_cell_angle_alpha 90.00
_cell_angle_beta 90.00
_cell_angle_gamma 90.00
loop_
_atom_site_label
_atom_site_fract_x
_atom_site_fract_y
_atom_site_fract_z
_atom_site_occupancy
Ca1 0.0000 0.0000 0.0000 1
Fe1 0.0000 0.0000 0.3331 1
Br1 0.0000 0.0000 0.6553 1
# **VASP energy**: -24.6 eV for the cell shown

# 8
# Sm4CSeBr2, optimized geometry, DFT PBE
data_Sm4CSeBr2
_chemical_formula_sum 'Sm4 C1 Se1 Br2'
_space_group_name_H-M_alt 'P 1 2/m 1'
_space_group_IT_number 10
_cell_length_a 7.1920
_cell_length_b 3.9218
_cell_length_c 7.4820
_cell_angle_alpha 90.00
_cell_angle_beta 107.54
_cell_angle_gamma 90.00
loop_
_space_group_symop_operation_xyz
'x,y,z'
'-x,-y,-z'
'-x,y,-z'
'x,-y,z'
loop_
_atom_site_label
_atom_site_fract_x
_atom_site_fract_y
_atom_site_fract_z
_atom_site_occupancy
Sm1 0.1973 0.0000 0.1891 1
Sm2 0.2187 0.5000 0.8013 1
C1 0.0000 0.5000 0.0000 1
Se1 0.5000 0.0000 0.0000 1
Br1 0.0000 0.0000 0.5000 1
Br2 0.5000 0.5000 0.5000 1
# **VASP energy**: -44.5 eV for the cell shown

Repeat the first record exactly.
# Rb3Nd3GaTe8, optimized geometry, DFT PBE
data_Rb3Nd3GaTe8
_chemical_formula_sum 'Rb6 Nd6 Ga2 Te16'
_space_group_name_H-M_alt 'C 1 2/m 1'
_space_group_IT_number 12
_cell_length_a 15.5631
_cell_length_b 8.9931
_cell_length_c 10.2927
_cell_angle_alpha 90.00
_cell_angle_beta 120.30
_cell_angle_gamma 90.00
loop_
_space_group_symop_operation_xyz
'x,y,z'
'-x,-y,-z'
'-x,y,-z'
'x,-y,z'
'x+1/2,y+1/2,z'
'-x+1/2,-y+1/2,-z'
'-x+1/2,y+1/2,-z'
'x+1/2,-y+1/2,z'
loop_
_atom_site_label
_atom_site_fract_x
_atom_site_fract_y
_atom_site_fract_z
_atom_site_occupancy
Rb1 0.0000 0.0000 0.0000 1
Rb2 0.2500 0.2500 0.0000 1
Nd1 0.0000 0.5000 0.5000 1
Nd2 0.2500 0.2500 0.5000 1
Ga1 0.0000 0.0000 0.5000 1
Te1 0.0137 0.2336 0.3075 1
Te2 0.2166 0.0000 0.6903 1
Te3 0.2359 0.5000 0.7072 1
# **VASP energy**: -122.3 eV for the cell shown